DFT (GGA-PBEsol) results for a relaxed structure of Sc2TcAu.

The structure in CIF format:
```
data_Sc2TcAu
_cell_length_a 3.0766
_cell_length_b 3.0766
_cell_length_c 27.9451
_cell_angle_alpha 90.00
_cell_angle_beta 90.00
_cell_angle_gamma 120.00
_symmetry_space_group_name_H-M 'R -3 m'
_symmetry_Int_Tables_number 166
_symmetry_space_group_name_Hall '-R 3 2"'
loop_
_atom_site_label
_atom_site_fract_x
_atom_site_fract_y
_atom_site_fract_z
Sc1 0.0000 0.0000 0.0973
Tc1 0.0000 0.0000 0.5000
Au1 0.0000 0.0000 0.0000
```

Summary:
Theoretical density, g cm⁻³: 8.37
Uncorrected energy, eV per atom: -7.051
Size of the total moment, μB per cell: 0.00
Formation energy from the elements, eV/f.u.: 0.198
Polymorph energy (0 for the lowest one), meV/atom: 549
N(E_F), states/eV per atom: 0.733

=====

DFT (GGA-PBEsol) results for a relaxed structure of Sc2TcAu.

The structure in CIF format:
```
data_Sc2TcAu
_cell_length_a 6.502
_cell_length_b 6.502
_cell_length_c 6.502
_cell_angle_alpha 90.00
_cell_angle_beta 90.00
_cell_angle_gamma 90.00
_symmetry_space_group_name_H-M 'F m -3 m'
_symmetry_Int_Tables_number 225
_symmetry_space_group_name_Hall '-F 4 2 3'
loop_
_atom_site_label
_atom_site_fract_x
_atom_site_fract_y
_atom_site_fract_z
Sc1 0.250 0.250 0.250
Tc1 0.000 0.000 0.000
Au1 0.000 0.000 0.500
```

Summary:
Theoretical density, g cm⁻³: 9.30
Uncorrected energy, eV per atom: -7.600
Size of the total moment, μB per cell: 0.00
Formation energy from the elements, eV/f.u.: -1.998
Polymorph energy (0 for the lowest one), meV/atom: 0
N(E_F), states/eV per atom: 0.381

=====

DFT (GGA-PBEsol) results for a relaxed structure of ScTcAu.

The structure in CIF format:
```
data_ScTcAu
_cell_length_a 6.132
_cell_length_b 6.132
_cell_length_c 6.132
_cell_angle_alpha 90.00
_cell_angle_beta 90.00
_cell_angle_gamma 90.00
_symmetry_space_group_name_H-M 'F -4 3 m'
_symmetry_Int_Tables_number 216
_symmetry_space_group_name_Hall 'F -4 2 3'
loop_
_atom_site_label
_atom_site_fract_x
_atom_site_fract_y
_atom_site_fract_z
Sc1 0.000 0.000 0.000
Tc1 0.250 0.250 0.750
Au1 0.250 0.250 0.250
```

Summary:
Theoretical density, g cm⁻³: 9.79
Uncorrected energy, eV per atom: -6.617
Size of the total moment, μB per cell: 4.20
Formation energy from the elements, eV/f.u.: 1.944
N(E_F), states/eV per atom: 2.097

=====

DFT (GGA-PBEsol) results for a relaxed structure of ScTc2Au.

The structure in CIF format:
```
data_ScTc2Au
_cell_length_a 3.825
_cell_length_b 3.825
_cell_length_c 4.272
_cell_angle_alpha 90.00
_cell_angle_beta 90.00
_cell_angle_gamma 90.00
_symmetry_space_group_name_H-M 'P 4/m m m'
_symmetry_Int_Tables_number 123
_symmetry_space_group_name_Hall '-P 4 2'
loop_
_atom_site_label
_atom_site_fract_x
_atom_site_fract_y
_atom_site_fract_z
Sc1 0.000 0.000 0.000
Tc1 0.000 0.500 0.500
Au1 0.500 0.500 0.000
```

Summary:
Theoretical density, g cm⁻³: 11.63
Uncorrected energy, eV per atom: -8.338
Size of the total moment, μB per cell: 0.00
Formation energy from the elements, eV/f.u.: -0.290
Polymorph energy (0 for the lowest one), meV/atom: 0
N(E_F), states/eV per atom: 0.928

=====

DFT (GGA-PBEsol) results for a relaxed structure of ScTe2Au.

The structure in CIF format:
```
data_ScTe2Au
_cell_length_a 4.249
_cell_length_b 4.994
_cell_length_c 9.283
_cell_angle_alpha 90.00
_cell_angle_beta 90.00
_cell_angle_gamma 90.00
_symmetry_space_group_name_H-M 'C m m 2'
_symmetry_Int_Tables_number 35
loop_
_symmetry_equiv_pos_as_xyz
'x,y,z'
'-x,-y,z'
'-x,y,z'
'x,-y,z'
'x+1/2,y+1/2,z'
'-x+1/2,-y+1/2,z'
'-x+1/2,y+1/2,z'
'x+1/2,-y+1/2,z'
loop_
_atom_site_label
_atom_site_fract_x
_atom_site_fract_y
_atom_site_fract_z
Sc1 0.000 0.000 0.000
Te1 0.000 0.000 0.411
Te2 0.000 0.500 0.780
Au1 0.000 0.500 0.182
```

Summary:
Theoretical density, g cm⁻³: 8.38
Uncorrected energy, eV per atom: -4.845
Size of the total moment, μB per cell: 0.00
N(E_F), states/eV per atom: 0.597
Formation energy from raw total energies, meV/atom: -450

=====

DFT (GGA-PBEsol) results for a relaxed structure of ScTeAu4.

The structure in CIF format:
```
data_ScTeAu4
_cell_length_a 7.774
_cell_length_b 7.774
_cell_length_c 7.774
_cell_angle_alpha 90.00
_cell_angle_beta 90.00
_cell_angle_gamma 90.00
_symmetry_space_group_name_H-M 'F -4 3 m'
_symmetry_Int_Tables_number 216
_symmetry_space_group_name_Hall 'F -4 2 3'
loop_
_atom_site_label
_atom_site_fract_x
_atom_site_fract_y
_atom_site_fract_z
Sc1 0.000 0.000 0.000
Te1 0.250 0.250 0.250
Au1 0.125 0.125 0.625
```

Summary:
Theoretical density, g cm⁻³: 13.58
Uncorrected energy, eV per atom: -4.577
Size of the total moment, μB per cell: 0.00
N(E_F), states/eV per atom: 0.705
Formation energy from raw total energies, meV/atom: -273

=====

DFT (GGA-PBEsol) results for a relaxed structure of Sc2TeAu.

The structure in CIF format:
```
data_Sc2TeAu
_cell_length_a 3.732
_cell_length_b 4.374
_cell_length_c 10.108
_cell_angle_alpha 90.00
_cell_angle_beta 90.00
_cell_angle_gamma 90.00
_symmetry_space_group_name_H-M 'I m m 2'
_symmetry_Int_Tables_number 44
loop_
_symmetry_equiv_pos_as_xyz
'x,y,z'
'-x,-y,z'
'-x,y,z'
'x,-y,z'
'x+1/2,y+1/2,z+1/2'
'-x+1/2,-y+1/2,z+1/2'
'-x+1/2,y+1/2,z+1/2'
'x+1/2,-y+1/2,z+1/2'
loop_
_atom_site_label
_atom_site_fract_x
_atom_site_fract_y
_atom_site_fract_z
Sc1 0.000 0.000 0.000
Sc2 0.000 0.500 0.234
Te1 0.000 0.500 0.771
Au1 0.000 0.000 0.505
```

Summary:
Theoretical density, g cm⁻³: 8.34
Uncorrected energy, eV per atom: -5.922
Size of the total moment, μB per cell: 0.00
N(E_F), states/eV per atom: 0.782
Formation energy from raw total energies, meV/atom: -757

=====

DFT (GGA-PBEsol) results for a relaxed structure of ScTe2Au.

The structure in CIF format:
```
data_ScTe2Au
_cell_length_a 4.078
_cell_length_b 4.078
_cell_length_c 10.988
_cell_angle_alpha 90.00
_cell_angle_beta 90.00
_cell_angle_gamma 90.00
_symmetry_space_group_name_H-M 'I -4 m 2'
_symmetry_Int_Tables_number 119
_symmetry_space_group_name_Hall 'I -4 -2'
loop_
_atom_site_label
_atom_site_fract_x
_atom_site_fract_y
_atom_site_fract_z
Sc1 0.000 0.000 0.000
Te1 0.000 0.000 0.500
Te2 0.000 0.500 0.250
Au1 0.000 0.500 0.750
```

Summary:
Theoretical density, g cm⁻³: 9.03
Uncorrected energy, eV per atom: -4.878
Size of the total moment, μB per cell: 0.00
N(E_F), states/eV per atom: 0.466
Formation energy from raw total energies, meV/atom: -483